VASP calculation (GGA-PBE) on a geometry-optimized Cs2MgGe structure.

Calculated values
volume	42.50	Å³/atom
ΔH_f (0 K)	0.5393	eV per atom
energy	-1.441	eV per atom

a = 5.102 Å, b = 5.102 Å, c = 26.122 Å
α = 90.00°, β = 90.00°, γ = 90.00°
Space group I-42d (No. 122)
Symmetry-distinct sites (fractional):
Cs 0.249 0.250 0.125 (multiplicity 8)
Mg 0.000 0.000 0.500 (multiplicity 4)
Ge 0.000 0.000 0.000 (multiplicity 4)

***

VASP calculation (GGA-PBE) on a geometry-optimized Rb3HgPd structure.

Calculated values
volume	52.61	Å³/atom
ΔH_f (0 K)	-0.0971	eV per atom
energy	-1.777	eV per atom

a = 5.269 Å, b = 10.837 Å, c = 9.328 Å
α = 90.00°, β = 99.01°, γ = 90.00°
Space group P2_1/m (No. 11)
Symmetry-distinct sites (fractional):
Rb 0.023 0.250 0.087 (multiplicity 2)
Rb 0.416 0.041 0.694 (multiplicity 4)
Hg 0.097 0.750 0.527 (multiplicity 2)
Pd 0.389 0.250 0.419 (multiplicity 2)

***

VASP calculation (GGA-PBE) on a geometry-optimized Ba2HoCdO5 structure.

Calculated values
raw formation energy	-2.272	eV/atom
volume	17.28	Å³/atom
energy	-6.064	eV per atom

a = 3.625 Å, b = 15.131 Å, c = 11.340 Å
α = 90.00°, β = 90.00°, γ = 90.00°
Space group Cmc2_1 (No. 36)
Symmetry-distinct sites (fractional):
Ba 0.000 0.114 0.000 (multiplicity 4)
Ba 0.000 0.131 0.592 (multiplicity 4)
Ho 0.000 0.216 0.305 (multiplicity 4)
Cd 0.000 0.484 0.778 (multiplicity 4)
O 0.000 0.070 0.357 (multiplicity 4)
O 0.000 0.281 0.937 (multiplicity 4)
O 0.000 0.299 0.679 (multiplicity 4)
O 0.000 0.364 0.306 (multiplicity 4)
O 0.000 0.499 0.086 (multiplicity 4)

***

VASP calculation (GGA-PBE) on a geometry-optimized YZnP2 structure.

Calculated values
volume	18.10	Å³/atom
ΔH_f (0 K)	-0.3912	eV per atom
energy	-5.031	eV per atom

a = 4.171 Å, b = 4.171 Å, c = 8.322 Å
α = 90.00°, β = 90.00°, γ = 90.00°
Space group I4/mmm (No. 139)
Symmetry-distinct sites (fractional):
Y 0.000 0.000 0.000 (multiplicity 2)
Zn 0.000 0.000 0.500 (multiplicity 2)
P 0.000 0.500 0.250 (multiplicity 4)

***

VASP calculation (GGA-PBE) on a geometry-optimized Li3ScBi2 structure.

Calculated values
volume	22.51	Å³/atom
ΔH_f (0 K)	-0.5550	eV per atom
energy	-3.861	eV per atom

a = 4.464 Å, b = 8.438 Å, c = 7.172 Å
α = 90.00°, β = 90.00°, γ = 90.00°
Space group Pmc2_1 (No. 26)
Symmetry-distinct sites (fractional):
Li 0.000 0.070 0.000 (multiplicity 2)
Li 0.000 0.309 0.387 (multiplicity 2)
Li 0.500 0.171 0.677 (multiplicity 2)
Sc 0.500 0.449 0.061 (multiplicity 2)
Bi 0.000 0.369 0.781 (multiplicity 2)
Bi 0.500 0.151 0.273 (multiplicity 2)

***

VASP calculation (GGA-PBE) on a geometry-optimized BaPaSi2O8 structure.

Calculated values
raw formation energy	-2.748	eV/atom
volume	14.20	Å³/atom
energy	-7.909	eV per atom

a = 7.297 Å, b = 7.297 Å, c = 6.400 Å
α = 90.00°, β = 90.00°, γ = 90.00°
Space group I-4m2 (No. 119)
Symmetry-distinct sites (fractional):
Ba 0.000 0.000 0.000 (multiplicity 2)
Pa 0.000 0.500 0.250 (multiplicity 2)
Si 0.000 0.000 0.500 (multiplicity 2)
Si 0.000 0.500 0.750 (multiplicity 2)
O 0.000 0.190 0.353 (multiplicity 8)
O 0.000 0.339 0.929 (multiplicity 8)

***

VASP calculation (GGA-PBE) on a geometry-optimized CoNi2AgAs structure.

Calculated values
volume	16.78	Å³/atom
ΔH_f (0 K)	0.6788	eV per atom
energy	-4.555	eV per atom

a = 4.424 Å, b = 4.424 Å, c = 4.286 Å
α = 90.00°, β = 90.00°, γ = 90.00°
Space group P4/mmm (No. 123)
Symmetry-distinct sites (fractional):
Co 0.000 0.000 0.000 (multiplicity 1)
Ni 0.000 0.500 0.000 (multiplicity 2)
Ag 0.500 0.500 0.500 (multiplicity 1)
As 0.000 0.000 0.500 (multiplicity 1)

***

VASP calculation (GGA-PBE) on a geometry-optimized Sm2Ni3Rh structure.

Calculated values
volume	16.60	Å³/atom
ΔH_f (0 K)	-0.4648	eV per atom
energy	-6.154	eV per atom

a = 5.1296 Å, b = 5.1296 Å, c = 13.1145 Å
α = 90.00°, β = 90.00°, γ = 120.00°
Space group R-3m (No. 166, hexagonal axes)
Symmetry-distinct sites (fractional):
Sm 0.0000 0.0000 0.1230 (multiplicity 6)
Ni 0.0000 0.5000 0.0000 (multiplicity 9)
Rh 0.0000 0.0000 0.5000 (multiplicity 3)

***

VASP calculation (GGA-PBE) on a geometry-optimized Ca2BeNi structure.

Calculated values
volume	24.28	Å³/atom
ΔH_f (0 K)	0.0624	eV per atom
energy	-3.315	eV per atom

a = 3.772 Å, b = 4.216 Å, c = 12.215 Å
α = 90.00°, β = 90.00°, γ = 90.00°
Space group Imm2 (No. 44)
Symmetry-distinct sites (fractional):
Ca 0.000 0.000 0.000 (multiplicity 2)
Ca 0.000 0.500 0.246 (multiplicity 2)
Be 0.000 0.000 0.417 (multiplicity 2)
Ni 0.000 0.500 0.838 (multiplicity 2)

***

VASP calculation (GGA-PBE) on a geometry-optimized Tm2ZrSn structure.

Calculated values
volume	26.17	Å³/atom
ΔH_f (0 K)	-0.2022	eV per atom
energy	-5.576	eV per atom

a = 4.426 Å, b = 4.331 Å, c = 11.143 Å
α = 90.00°, β = 101.47°, γ = 90.00°
Space group P2_1/m (No. 11)
Symmetry-distinct sites (fractional):
Tm 0.062 0.250 0.125 (multiplicity 2)
Tm 0.433 0.250 0.865 (multiplicity 2)
Zr 0.306 0.750 0.613 (multiplicity 2)
Sn 0.172 0.750 0.343 (multiplicity 2)

***

VASP calculation (GGA-PBE) on a geometry-optimized KAcIn2 structure.

Calculated values
volume	34.84	Å³/atom
ΔH_f (0 K)	-0.1755	eV per atom
energy	-2.846	eV per atom

a = 8.230 Å, b = 8.230 Å, c = 8.230 Å
α = 90.00°, β = 90.00°, γ = 90.00°
Space group Fm-3m (No. 225)
Symmetry-distinct sites (fractional):
K 0.000 0.000 0.000 (multiplicity 4)
Ac 0.000 0.000 0.500 (multiplicity 4)
In 0.250 0.250 0.250 (multiplicity 8)

***

VASP calculation (GGA-PBE) on a geometry-optimized CuReS3 structure.

Calculated values
raw formation energy	1.287	eV/atom
volume	17.49	Å³/atom
energy	-4.498	eV per atom

a = 4.439 Å, b = 4.439 Å, c = 4.439 Å
α = 90.00°, β = 90.00°, γ = 90.00°
Space group Pm-3m (No. 221)
Symmetry-distinct sites (fractional):
Cu 0.000 0.000 0.000 (multiplicity 1)
Re 0.500 0.500 0.500 (multiplicity 1)
S 0.000 0.000 0.500 (multiplicity 3)